Li3PmPt2 (PBE-GGA, relaxed); symmetry = C2/m, No. 12; total magnetization = 0.000 μB per formula unit; formation energy from the elements = -0.670 eV per atom; V = 212.1 Å³ per cell
1.0
6.890 -2.088 0.000
6.890 2.088 0.000
-3.985 0.000 7.372
Li Pm Pt
6 2 4
Cartesian
-0.748 0.000 2.892
2.069 0.000 3.385
4.495 0.000 2.312
5.300 0.000 5.060
7.726 0.000 3.987
10.544 0.000 4.480
1.796 0.000 0.148
7.999 0.000 7.223
-0.046 0.000 5.422
2.845 0.000 5.962
6.950 0.000 1.410
9.841 0.000 1.950

***

LiPm6Pt5 (PBE-GGA, relaxed); symmetry = Immm, No. 71; total magnetization = 0.000 μB per formula unit; formation energy from the elements = -0.930 eV per atom; V = 281.0 Å³ per cell
1.0
-2.501 3.609 7.785
2.501 -3.609 7.785
2.501 3.609 -7.785
Li Pm Pt
1 6 5
Cartesian
0.000 0.000 0.000
2.501 -1.772 5.137
2.501 1.898 0.000
0.000 1.837 2.648
2.501 1.772 5.137
0.000 1.710 7.785
0.000 5.381 2.648
2.501 0.000 2.254
0.000 0.000 5.054
0.000 3.609 0.000
0.000 0.000 10.516
0.000 3.609 5.531

***

Li2Pm3Pt3 (PBE-GGA, relaxed); symmetry = P6_3/mcm, No. 193; total magnetization = 0.000 μB per formula unit; formation energy from the elements = -0.848 eV per atom; V = 367.4 Å³ per cell
1.0
8.597 0.000 0.000
-4.298 7.445 0.000
0.000 0.000 5.741
Li Pm Pt
4 6 6
Cartesian
0.000 4.963 0.000
0.000 4.963 2.870
4.298 2.482 0.000
4.298 2.482 2.870
-1.217 2.108 1.435
-3.081 5.337 4.305
2.434 0.000 1.435
1.217 2.108 4.305
6.163 0.000 4.305
3.081 5.337 1.435
-1.627 2.818 4.305
-2.671 4.627 1.435
3.254 0.000 4.305
1.627 2.818 1.435
5.343 0.000 1.435
2.671 4.627 4.305

***

LiPm8Pt6 (PBE-GGA, relaxed); symmetry = R-3, No. 148; total magnetization = 0.000 μB per formula unit; formation energy from the elements = -0.924 eV per atom; V = 392.7 Å³ per cell
1.0
4.326 2.498 6.057
-4.326 2.498 6.057
0.000 -4.996 6.057
Li Pm Pt
1 8 6
Cartesian
0.000 0.000 0.000
-1.215 -2.706 7.988
-2.951 -0.301 10.183
0.000 0.000 5.956
-1.736 2.406 7.988
1.736 -2.405 10.183
0.000 0.000 12.216
2.951 0.301 7.988
1.215 2.706 10.183
-2.810 -0.198 7.215
-1.234 -2.532 10.956
1.576 -2.335 7.215
-1.576 2.335 10.956
1.234 2.532 7.215
2.810 0.198 10.956

***

Li2Pm2Pt (PBE-GGA, relaxed); symmetry = I4/mmm, No. 139; total magnetization = 0.000 μB per formula unit; formation energy from the elements = -0.320 eV per atom; V = 124.3 Å³ per cell
1.0
-1.830 1.830 9.276
1.830 -1.830 9.276
1.830 1.830 -9.276
Li Pm Pt
2 2 1
Cartesian
1.830 0.000 4.638
0.000 1.830 4.638
0.000 0.000 1.655
0.000 0.000 16.897
0.000 0.000 9.276

***

Li2Pm2Pt (PBE-GGA, relaxed); symmetry = C2/m, No. 12; total magnetization = 0.000 μB per formula unit; formation energy from the elements = -0.396 eV per atom; V = 112.0 Å³ per cell
1.0
5.489 -2.304 0.000
5.489 2.304 0.000
-2.236 0.000 4.428
Li Pm Pt
2 2 1
Cartesian
5.489 1.187 0.000
5.489 -1.187 0.000
2.754 0.000 1.396
5.988 0.000 3.032
-1.118 0.000 2.214

***

Which value of total magnetization does entry 3 give? 0.000 μB per formula unit